[1]
The following is a SCAN calculation of a PBEsol-optimized structure of La8Mg, from the Alexandria database.

- Formation energy: -3.5 meV per atom
- E_tot: -38.872 eV per atom
- Volume: 32.877 Å³/atom

Unit cell a=5.0812 b=8.0429 c=8.0429 alpha=84.27 beta=71.59 gamma=71.59
Closest atoms and distances in Å follow each position.
Positions (direct):
La 0.6685 0.0000 0.6630  10 La 3.56-3.64, 2 Mg 3.62
Mg 0.0000 0.0000 0.0000  12 La 3.54-3.62
La 0.3315 0.3370 0.0000  10 La 3.56-3.64, 2 Mg 3.62
La 0.0000 0.6717 0.3283  1 Mg 3.54, 11 La 3.57-3.71
La 0.3283 0.6717 0.6717  1 Mg 3.54, 11 La 3.57-3.71
La 0.3315 0.0000 0.3370  10 La 3.56-3.64, 2 Mg 3.62
La 0.6717 0.3283 0.3283  1 Mg 3.54, 11 La 3.57-3.71
La 0.0000 0.3283 0.6717  1 Mg 3.54, 11 La 3.57-3.71
La 0.6685 0.6630 0.0000  10 La 3.56-3.64, 2 Mg 3.62

=====

[2]
The following is a SCAN calculation of a PBEsol-optimized structure of LaMg3, from the Alexandria database.

- Formation energy: -100.0 meV per atom
- E_tot: -14.607 eV per atom
- Volume: 26.605 Å³/atom

Unit cell a=5.2342 b=6.8522 c=6.8522 alpha=120.00 beta=90.00 gamma=90.00
Closest atoms and distances in Å follow each position.
Positions (direct):
Mg 0.7500 0.1613 0.8387  8 Mg 3.24-3.54, 4 La 3.32-3.43
Mg 0.7500 0.6774 0.8387  8 Mg 3.24-3.54, 4 La 3.32-3.43
Mg 0.7500 0.1613 0.3226  8 Mg 3.24-3.54, 4 La 3.32-3.43
Mg 0.2500 0.8387 0.1613  8 Mg 3.24-3.54, 4 La 3.32-3.43
Mg 0.2500 0.3226 0.1613  8 Mg 3.24-3.54, 4 La 3.32-3.43
Mg 0.2500 0.8387 0.6774  8 Mg 3.24-3.54, 4 La 3.32-3.43
La 0.7500 0.6667 0.3333  12 Mg 3.32-3.43
La 0.2500 0.3333 0.6667  12 Mg 3.32-3.43

=====

[3]
The following is a SCAN calculation of a PBEsol-optimized structure of La2Mg, from the Alexandria database.

- Formation energy: -26.9 meV per atom
- E_tot: -30.421 eV per atom
- Volume: 30.793 Å³/atom
- ΔE to the lowest computed polymorph: 63 meV per atom

Unit cell a=6.0918 b=6.0918 c=6.7394 alpha=63.13 beta=63.13 gamma=60.00
Closest atoms and distances in Å follow each position.
Positions (direct):
La 0.0000 0.3145 0.0000  8 La 3.32-3.62, 4 Mg 3.50-3.51
Mg 0.8305 0.8305 0.5085  9 La 3.50-3.52, 3 Mg 3.52
Mg 0.1695 0.1695 0.4915  9 La 3.50-3.52, 3 Mg 3.52
La 0.6855 0.0000 0.0000  8 La 3.32-3.62, 4 Mg 3.50-3.51
La 0.5000 0.5000 0.5000  6 Mg 3.52, 6 La 3.55
La 0.3145 0.6855 0.0000  8 La 3.32-3.62, 4 Mg 3.50-3.51

=====

[4]
The following is a SCAN calculation of a PBEsol-optimized structure of La2Mg, from the Alexandria database.

- Formation energy: -58.9 meV per atom
- E_tot: -30.453 eV per atom
- Volume: 30.513 Å³/atom
- ΔE to the lowest computed polymorph: 31 meV per atom

Unit cell a=6.0845 b=6.0845 c=6.5850 alpha=63.51 beta=63.51 gamma=61.47
Closest atoms and distances in Å follow each position.
Positions (direct):
La 0.2439 0.4193 0.7517  7 La 3.45-3.55, 5 Mg 3.47-3.60
La 0.4193 0.2439 0.2517  7 La 3.45-3.55, 5 Mg 3.47-3.60
Mg 0.0831 0.9169 0.2500  2 Mg 3.45, 10 La 3.47-3.60
La 0.7561 0.5807 0.2483  7 La 3.45-3.55, 5 Mg 3.47-3.60
Mg 0.9169 0.0831 0.7500  2 Mg 3.45, 10 La 3.47-3.60
La 0.5807 0.7561 0.7483  7 La 3.45-3.55, 5 Mg 3.47-3.60

=====

[5]
The following is a SCAN calculation of a PBEsol-optimized structure of La2Mg, from the Alexandria database.

- Formation energy: -38.8 meV per atom
- E_tot: -30.433 eV per atom
- Volume: 30.575 Å³/atom
- ΔE to the lowest computed polymorph: 51 meV per atom

Unit cell a=3.5660 b=5.6129 c=9.3370 alpha=90.00 beta=101.01 gamma=90.00
Closest atoms and distances in Å follow each position.
Positions (direct):
La 0.7733 0.7500 0.5466  8 La 3.43-3.64, 4 Mg 3.47-3.52
Mg 0.8892 0.2500 0.7784  10 La 3.47-3.52, 2 Mg 3.57
La 0.5533 0.2500 0.1066  6 La 3.42-3.64, 6 Mg 3.49-3.50
La 0.2267 0.2500 0.4534  8 La 3.43-3.64, 4 Mg 3.47-3.52
La 0.4467 0.7500 0.8934  6 La 3.42-3.64, 6 Mg 3.49-3.50
Mg 0.1108 0.7500 0.2216  10 La 3.47-3.52, 2 Mg 3.57

=====

[6]
The following is a SCAN calculation of a PBEsol-optimized structure of LaMg3, from the Alexandria database.

- Formation energy: -145.3 meV per atom
- E_tot: -14.652 eV per atom
- Volume: 25.607 Å³/atom

Unit cell a=5.2518 b=5.2518 c=5.2518 alpha=60.00 beta=60.00 gamma=60.00
Closest atoms and distances in Å follow each position.
Positions (direct):
Mg 0.2500 0.2500 0.2500  4 La 3.22, 4 Mg 3.22
Mg 0.5000 0.5000 0.5000  8 Mg 3.22
Mg 0.7500 0.7500 0.7500  4 La 3.22, 4 Mg 3.22
La 0.0000 0.0000 0.0000  8 Mg 3.22

=====

[7]
The following is a SCAN calculation of a PBEsol-optimized structure of La2Mg, from the Alexandria database.

- Formation energy: -90.3 meV per atom
- E_tot: -30.485 eV per atom
- Volume: 31.355 Å³/atom
- ΔE to the lowest computed polymorph: 0 meV per atom

Unit cell a=3.9092 b=3.9092 c=6.7477 alpha=106.84 beta=106.84 gamma=90.00
Closest atoms and distances in Å follow each position.
Positions (direct):
La 0.6568 0.6568 0.3136  4 Mg 3.37, 4 La 3.59
La 0.3432 0.3432 0.6864  4 Mg 3.37, 4 La 3.59
Mg 0.0000 0.0000 0.0000  8 La 3.37

=====

[8]
The following is a SCAN calculation of a PBEsol-optimized structure of LaMg, from the Alexandria database.

- Formation energy: -40.5 meV per atom
- E_tot: -24.080 eV per atom
- Volume: 28.991 Å³/atom
- ΔE to the lowest computed polymorph: 95 meV per atom

Unit cell a=3.5214 b=3.5214 c=9.3515 alpha=90.00 beta=90.00 gamma=90.00
Closest atoms and distances in Å follow each position.
Positions (direct):
La 0.0000 0.5000 0.8565  4 Mg 3.46, 8 La 3.52-3.66
Mg 0.0000 0.5000 0.4010  4 Mg 3.10, 4 La 3.46
La 0.5000 0.0000 0.1435  4 Mg 3.46, 8 La 3.52-3.66
Mg 0.5000 0.0000 0.5990  4 Mg 3.10, 4 La 3.46